# 1
VASP calculation (SCAN) on a PBEsol-optimized structure of Li2Ni3TeO8. Values from VASP.

Summary:
formation energy from raw total energies	-1.424	eV per atom
E	-11.452	eV/atom
SG	C2/m, No. 12
energy above the lowest structure with this stoichiometry	8.33	kJ/mol of atoms

Quantum ESPRESSO input file:
```
&SYSTEM
  ibrav = 0, nat = 14, ntyp = 4
/
ATOMIC_SPECIES
Li 6.94 Li.upf
Ni 58.69 Ni.upf
Te 127.60 Te.upf
O 16.00 O.upf
ATOMIC_POSITIONS angstrom
Li 0.0000 0.0000 0.0000
Li 4.9502 0.0000 0.0000
Ni -1.8564 0.0000 2.4435
Ni 2.4751 1.4879 0.0000
Ni 2.4751 -1.4879 0.0000
Te 3.0938 0.0000 2.4435
O -0.5818 0.0000 3.9666
O 3.8748 1.4124 1.3046
O 1.6202 0.0000 1.1854
O 2.3129 1.4124 3.5824
O 3.8748 -1.4124 1.3046
O 4.5675 0.0000 3.7016
O 2.3129 -1.4124 3.5824
O 6.7695 0.0000 0.9204
CELL_PARAMETERS angstrom
4.9502 -2.9758 0.0000
4.9502 2.9758 0.0000
-3.7128 0.0000 4.8870
```

---

# 2
VASP calculation (SCAN) on a PBEsol-optimized structure of Na2Nb2H. Values from VASP.

Summary:
N(E_F)	3.68	states/eV/cell
E	-14.977	eV/atom
SG	I4/mmm, No. 139

Quantum ESPRESSO input file:
```
&SYSTEM
  ibrav = 0, nat = 10, ntyp = 3
/
ATOMIC_SPECIES
Na 22.99 Na.upf
Nb 92.91 Nb.upf
H 1.01 H.upf
ATOMIC_POSITIONS angstrom
Na 0.0000 0.0000 1.5323
Na 0.0000 0.0000 16.8304
Na 1.7814 1.7814 7.6490
Na 1.7814 1.7814 10.7136
Nb 0.0000 1.7814 4.5907
Nb 0.0000 1.7814 13.7720
Nb 1.7814 0.0000 4.5907
Nb 1.7814 0.0000 13.7720
H 0.0000 0.0000 9.1813
H 1.7814 1.7814 0.0000
CELL_PARAMETERS angstrom
3.5627 0.0000 0.0000
0.0000 3.5627 0.0000
0.0000 0.0000 18.3627
```

---

# 3
VASP calculation (SCAN) on a PBEsol-optimized structure of Ta2BeTlMo. Values from VASP.

Summary:
N(E_F)	3.17	states/eV/cell
formation enthalpy at 0 K	2784	meV per atom
E	-46.168	eV/atom
SG	P4/mmm, No. 123

Quantum ESPRESSO input file:
```
&SYSTEM
  ibrav = 0, nat = 5, ntyp = 4
/
ATOMIC_SPECIES
Ta 180.95 Ta.upf
Be 9.01 Be.upf
Tl 204.38 Tl.upf
Mo 95.94 Mo.upf
ATOMIC_POSITIONS angstrom
Ta 0.0000 2.4914 0.0000
Ta 2.4914 0.0000 0.0000
Be 0.0000 0.0000 2.4530
Tl 2.4914 2.4914 0.0000
Mo 2.4914 2.4914 2.4530
CELL_PARAMETERS angstrom
4.9828 0.0000 0.0000
0.0000 4.9828 0.0000
0.0000 0.0000 4.9060
```

---

# 4
VASP calculation (SCAN) on a PBEsol-optimized structure of VRh. Values from VASP.

Summary:
N(E_F)	2.05	states/eV/cell
formation enthalpy at 0 K	-459	meV per atom
E	-26.089	eV/atom
SG	P4/mmm, No. 123

Quantum ESPRESSO input file:
```
&SYSTEM
  ibrav = 0, nat = 2, ntyp = 2
/
ATOMIC_SPECIES
V 50.94 V.upf
Rh 102.91 Rh.upf
ATOMIC_POSITIONS angstrom
V 0.0000 0.0000 0.0000
Rh 1.3508 1.3508 1.8010
CELL_PARAMETERS angstrom
2.7016 0.0000 0.0000
0.0000 2.7016 0.0000
0.0000 0.0000 3.6019
```

---

# 5
VASP calculation (SCAN) on a PBEsol-optimized structure of MgFe2Cl. Values from VASP.

Summary:
formation energy from raw total energies	0.157	eV per atom
N(E_F)	7.10	states/eV/cell
E	-12.146	eV/atom
SG	R-3m, No. 166

Quantum ESPRESSO input file:
```
&SYSTEM
  ibrav = 0, nat = 12, ntyp = 3
/
ATOMIC_SPECIES
Mg 24.30 Mg.upf
Fe 55.84 Fe.upf
Cl 35.45 Cl.upf
ATOMIC_POSITIONS angstrom
Mg 0.0000 0.0000 0.0000
Mg 0.0000 1.6684 16.1623
Mg 1.4449 0.8342 8.0811
Fe 0.0000 0.0000 5.8713
Fe 0.0000 0.0000 18.3721
Fe 0.0000 1.6684 10.2910
Fe 0.0000 1.6684 22.0335
Fe 1.4449 0.8342 2.2098
Fe 1.4449 0.8342 13.9524
Cl 0.0000 0.0000 12.1217
Cl 0.0000 1.6684 4.0406
Cl 1.4449 0.8342 20.2028
CELL_PARAMETERS angstrom
2.8898 0.0000 0.0000
-1.4449 2.5026 0.0000
0.0000 0.0000 24.2434
```

---

# 6
VASP calculation (SCAN) on a PBEsol-optimized structure of AlTlRu2C. Values from VASP.

Summary:
N(E_F)	3.47	states/eV/cell
formation enthalpy at 0 K	734	meV per atom
E	-31.239	eV/atom
SG	P4/mmm, No. 123

Quantum ESPRESSO input file:
```
&SYSTEM
  ibrav = 0, nat = 5, ntyp = 4
/
ATOMIC_SPECIES
Al 26.98 Al.upf
Tl 204.38 Tl.upf
Ru 101.07 Ru.upf
C 12.01 C.upf
ATOMIC_POSITIONS angstrom
Al 0.0000 0.0000 0.0000
Tl 2.0158 2.0158 0.0000
Ru 0.0000 2.0158 2.3106
Ru 2.0158 0.0000 2.3106
C 2.0158 2.0158 2.3106
CELL_PARAMETERS angstrom
4.0317 0.0000 0.0000
0.0000 4.0317 0.0000
0.0000 0.0000 4.6212
```

---

# 7
VASP calculation (SCAN) on a PBEsol-optimized structure of TaBeCd2. Values from VASP.

Summary:
N(E_F)	2.39	states/eV/cell
formation enthalpy at 0 K	394	meV per atom
E	-32.547	eV/atom
SG	C2/m, No. 12

Quantum ESPRESSO input file:
```
&SYSTEM
  ibrav = 0, nat = 8, ntyp = 3
/
ATOMIC_SPECIES
Ta 180.95 Ta.upf
Be 9.01 Be.upf
Cd 112.41 Cd.upf
ATOMIC_POSITIONS angstrom
Ta 0.0000 0.0000 0.0000
Ta 2.7589 4.7955 0.0000
Be 0.0000 4.7955 0.0000
Be 2.7589 0.0000 0.0000
Cd 0.9155 2.3978 1.2718
Cd 0.9155 7.1933 1.2718
Cd 3.6744 2.3978 1.2718
Cd 3.6744 7.1933 1.2718
CELL_PARAMETERS angstrom
5.5177 0.0000 0.0000
0.0000 9.5910 0.0000
-0.9278 0.0000 2.5436
```

---

# 8
VASP calculation (SCAN) on a PBEsol-optimized structure of ZnAgOs2. Values from VASP.

Summary:
N(E_F)	6.29	states/eV/cell
formation enthalpy at 0 K	582	meV per atom
E	-46.579	eV/atom
SG	C2/m, No. 12

Quantum ESPRESSO input file:
```
&SYSTEM
  ibrav = 0, nat = 8, ntyp = 3
/
ATOMIC_SPECIES
Zn 65.41 Zn.upf
Ag 107.87 Ag.upf
Os 190.23 Os.upf
ATOMIC_POSITIONS angstrom
Zn 0.0000 0.0000 0.0000
Zn 2.6303 4.6978 0.0000
Ag 0.0000 4.6978 0.0000
Ag 2.6303 0.0000 0.0000
Os 0.6537 2.3489 1.1866
Os 0.6537 7.0466 1.1866
Os 3.2840 2.3489 1.1866
Os 3.2840 7.0466 1.1866
CELL_PARAMETERS angstrom
5.2606 0.0000 0.0000
0.0000 9.3955 0.0000
-1.3230 0.0000 2.3732
```